Record 1
The following is a DFT calculation (PBE) of a relaxed KAgS crystal.

a b c (Å): 8.742 8.742 4.442
angles (deg): 90.00 90.00 120.00
Sites, in units of the cell vectors:
K 0.025 0.513 0.000
K 0.487 0.513 0.667
K 0.487 0.975 0.333
Ag 0.182 0.091 0.000
Ag 0.909 0.091 0.667
Ag 0.909 0.818 0.333
S 0.150 0.300 0.333
S 0.150 0.850 0.667
S 0.700 0.850 0.000

Summary:
Symmetry: P3_212, No. 153
Electronic total energy, eV per atom: -3.1673

***

Record 2
The following is a DFT calculation (PBE) of a relaxed KAg5S3 crystal.

a b c (Å): 13.509 13.509 8.016
angles (deg): 90.00 90.00 120.00
Sites, in units of the cell vectors:
K 0.000 0.000 0.000
K 0.000 0.000 0.500
K 0.333 0.667 0.000
K 0.333 0.667 0.500
K 0.667 0.333 0.000
K 0.667 0.333 0.500
Ag 0.000 0.478 0.000
Ag 0.000 0.478 0.500
Ag 0.000 0.646 0.250
Ag 0.000 0.646 0.750
Ag 0.003 0.312 0.250
Ag 0.156 0.822 0.000
Ag 0.156 0.822 0.500
Ag 0.178 0.333 0.000
Ag 0.178 0.333 0.500
Ag 0.309 0.997 0.250
Ag 0.312 0.003 0.750
Ag 0.333 0.178 0.000
Ag 0.333 0.178 0.500
Ag 0.354 0.354 0.250
Ag 0.354 0.354 0.750
Ag 0.478 0.000 0.000
Ag 0.478 0.000 0.500
Ag 0.522 0.522 0.000
Ag 0.522 0.522 0.500
Ag 0.646 0.000 0.250
Ag 0.646 0.000 0.750
Ag 0.667 0.844 0.000
Ag 0.667 0.844 0.500
Ag 0.688 0.691 0.250
Ag 0.691 0.688 0.750
Ag 0.822 0.156 0.000
Ag 0.822 0.156 0.500
Ag 0.844 0.667 0.000
Ag 0.844 0.667 0.500
Ag 0.997 0.309 0.750
S 0.093 0.875 0.750
S 0.115 0.542 0.750
S 0.125 0.218 0.750
S 0.218 0.125 0.250
S 0.223 0.447 0.250
S 0.224 0.777 0.250
S 0.427 0.885 0.750
S 0.447 0.223 0.750
S 0.458 0.573 0.750
S 0.542 0.115 0.250
S 0.553 0.776 0.250
S 0.573 0.458 0.250
S 0.776 0.553 0.750
S 0.777 0.224 0.750
S 0.782 0.907 0.750
S 0.875 0.093 0.250
S 0.885 0.427 0.250
S 0.907 0.782 0.250

Summary:
Symmetry: P-62c, No. 190
Electronic total energy, eV per atom: -3.3862

***

Record 3
The following is a DFT calculation (PBE) of a relaxed KAg3S2 crystal.

a b c (Å): 9.380 9.380 9.380
angles (deg): 60.00 60.00 60.00
Sites, in units of the cell vectors:
K 0.000 0.000 0.000
K 0.000 0.000 0.500
K 0.000 0.500 0.000
K 0.500 0.000 0.000
Ag 0.214 0.214 0.536
Ag 0.214 0.536 0.214
Ag 0.214 0.536 0.536
Ag 0.464 0.464 0.786
Ag 0.464 0.786 0.464
Ag 0.464 0.786 0.786
Ag 0.536 0.214 0.214
Ag 0.536 0.214 0.536
Ag 0.536 0.536 0.214
Ag 0.786 0.464 0.464
Ag 0.786 0.464 0.786
Ag 0.786 0.786 0.464
S 0.237 0.754 0.754
S 0.246 0.246 0.246
S 0.246 0.246 0.763
S 0.246 0.763 0.246
S 0.754 0.237 0.754
S 0.754 0.754 0.237
S 0.754 0.754 0.754
S 0.763 0.246 0.246

Summary:
Symmetry: Fd-3m, No. 227
Electronic total energy, eV per atom: -3.3641

***

Record 4
The following is a DFT calculation (PBE) of a relaxed KAg6S4 crystal.

a b c (Å): 7.969 7.969 3.976
angles (deg): 90.00 90.00 120.00
Sites, in units of the cell vectors:
K 0.000 0.000 0.000
Ag 0.200 0.399 0.500
Ag 0.200 0.800 0.500
Ag 0.544 0.088 0.000
Ag 0.544 0.456 0.000
Ag 0.601 0.800 0.500
Ag 0.912 0.456 0.000
S 0.333 0.667 0.000
S 0.361 0.180 0.500
S 0.820 0.180 0.500
S 0.820 0.639 0.500

Summary:
Symmetry: P-6m2, No. 187
Electronic total energy, eV per atom: -3.2727

***

Record 5
The following is a DFT calculation (PBE) of a relaxed K2Ag2SbS4 crystal.

a b c (Å): 7.989 7.989 7.667
angles (deg): 111.00 111.00 29.33
Sites, in units of the cell vectors:
K 0.135 0.135 0.059
K 0.865 0.865 0.941
Ag 0.316 0.316 0.520
Ag 0.684 0.684 0.480
Sb 0.000 0.000 0.500
S 0.191 0.191 0.692
S 0.489 0.489 0.737
S 0.511 0.511 0.263
S 0.809 0.809 0.308

Summary:
Symmetry: C2/m, No. 12
Electronic total energy, eV per atom: -3.6643

***

Record 6
The following is a DFT calculation (PBE) of a relaxed KSc2AgS4 crystal.

a b c (Å): 6.821 6.821 13.783
angles (deg): 90.00 90.00 147.01
Sites, in units of the cell vectors:
K 0.120 0.880 0.750
K 0.880 0.120 0.250
Sc 0.370 0.630 0.566
Sc 0.370 0.630 0.934
Sc 0.630 0.370 0.066
Sc 0.630 0.370 0.434
Ag 0.168 0.832 0.250
Ag 0.832 0.168 0.750
S 0.000 0.000 0.000
S 0.000 0.000 0.500
S 0.259 0.741 0.095
S 0.259 0.741 0.405
S 0.447 0.553 0.750
S 0.553 0.447 0.250
S 0.741 0.259 0.595
S 0.741 0.259 0.905

Summary:
Symmetry: Cmcm, No. 63
Electronic total energy, eV per atom: -5.5362

***

Record 7
The following is a DFT calculation (PBE) of a relaxed K2SiAgS4 crystal.

a b c (Å): 6.405 6.405 6.405
angles (deg): 105.85 105.85 116.99
Sites, in units of the cell vectors:
K 0.000 0.500 0.500
K 0.500 0.000 0.500
Si 0.000 0.000 0.000
Ag 0.500 0.500 0.000
S 0.051 0.355 0.000
S 0.355 0.051 0.000
S 0.645 0.645 0.696
S 0.949 0.949 0.304

Summary:
Symmetry: I-42m, No. 121
Electronic total energy, eV per atom: -4.1245

***

Record 8
The following is a DFT calculation (PBE) of a relaxed KSm2Ag2S4 crystal.

a b c (Å): 7.711 7.711 7.971
angles (deg): 114.78 114.78 28.38
Sites, in units of the cell vectors:
K 0.000 0.000 0.000
Sm 0.129 0.129 0.560
Sm 0.871 0.871 0.440
Ag 0.312 0.312 0.971
Ag 0.688 0.688 0.029
S 0.215 0.215 0.292
S 0.470 0.470 0.290
S 0.530 0.530 0.710
S 0.785 0.785 0.708

Summary:
Symmetry: C2/m, No. 12
Electronic total energy, eV per atom: -4.8103

***

Record 9
The following is a DFT calculation (PBE) of a relaxed KSm2AgS4 crystal.

a b c (Å): 7.170 7.170 14.382
angles (deg): 90.00 90.00 146.64
Sites, in units of the cell vectors:
K 0.115 0.885 0.750
K 0.885 0.115 0.250
Sm 0.368 0.632 0.565
Sm 0.368 0.632 0.935
Sm 0.632 0.368 0.065
Sm 0.632 0.368 0.435
Ag 0.162 0.838 0.250
Ag 0.838 0.162 0.750
S 0.000 0.000 0.000
S 0.000 0.000 0.500
S 0.264 0.736 0.104
S 0.264 0.736 0.396
S 0.444 0.556 0.750
S 0.556 0.444 0.250
S 0.736 0.264 0.604
S 0.736 0.264 0.896

Summary:
Symmetry: Cmcm, No. 63
Electronic total energy, eV per atom: -5.3257

***

Record 10
The following is a DFT calculation (PBE) of a relaxed KAgSnS3 crystal.

a b c (Å): 6.877 6.877 8.472
angles (deg): 106.63 106.63 76.85
Sites, in units of the cell vectors:
K 0.189 0.189 0.171
K 0.811 0.811 0.829
Ag 0.232 0.768 0.500
Ag 0.768 0.232 0.500
Sn 0.418 0.418 0.715
Sn 0.582 0.582 0.285
S 0.191 0.191 0.550
S 0.223 0.679 0.194
S 0.321 0.777 0.806
S 0.679 0.223 0.194
S 0.777 0.321 0.806
S 0.809 0.809 0.450

Summary:
Symmetry: C2/m, No. 12
Electronic total energy, eV per atom: -3.8274

***

Record 11
The following is a DFT calculation (PBE) of a relaxed KSrAg2S crystal.

a b c (Å): 5.395 5.395 5.729
angles (deg): 90.00 90.00 90.00
Sites, in units of the cell vectors:
K 0.000 0.000 0.000
Sr 0.500 0.500 0.500
Ag 0.000 0.500 0.000
Ag 0.500 0.000 0.000
S 0.000 0.000 0.500

Summary:
Symmetry: P4/mmm, No. 123
Electronic total energy, eV per atom: -2.2939

***

Record 12
The following is a DFT calculation (PBE) of a relaxed KSr2AgS crystal.

a b c (Å): 6.597 6.597 5.279
angles (deg): 90.00 90.00 90.00
Sites, in units of the cell vectors:
K 0.000 0.000 0.000
Sr 0.000 0.500 0.000
Sr 0.500 0.000 0.000
Ag 0.000 0.000 0.500
S 0.500 0.500 0.500

Summary:
Symmetry: P4/mmm, No. 123
Electronic total energy, eV per atom: -1.6721